This record from the Alexandria database describes a crystal of LaCrNi relaxed with PBEsol. The functional is meta-GGA SCAN.

abc: 4.0982 4.0982 4.0748
angles: 90.00 90.00 120.00
Last column: nearest neighbours and their distance in Å.
Sites, in units of the cell vectors:
Cr 0.0000 0.0000 0.5000  3 Ni 2.37
Ni 0.6667 0.3333 0.5000  3 Cr 2.37
La 0.3333 0.6667 0.0000  6 Ni 3.12, 6 Cr 3.12

Formation energy from the elements, eV/f.u.: 0.226
Final energy, eV per atom: -25.812
Symmetry: P-6m2

---

This record from the Alexandria database describes a crystal of La2CrNi relaxed with PBEsol. The functional is meta-GGA SCAN.

abc: 3.7449 3.7449 8.2335
angles: 76.86 76.86 60.00
Last column: nearest neighbours and their distance in Å.
Sites, in units of the cell vectors:
La 0.7586 0.7586 0.7242  3 Ni 2.80, 3 Cr 3.08
La 0.2414 0.2414 0.2758  3 Ni 2.80, 3 Cr 3.08
Cr 0.0000 0.0000 0.0000  6 La 3.08
Ni 0.5000 0.5000 0.5000  6 La 2.80

Formation energy from the elements, eV/f.u.: 0.895
Final energy, eV per atom: -29.968
Symmetry: R-3m

---

This record from the Alexandria database describes a crystal of La2CrNi relaxed with PBEsol. The functional is meta-GGA SCAN.

abc: 3.4909 4.5591 6.1885
angles: 111.64 106.38 90.00
Last column: nearest neighbours and their distance in Å.
Sites, in units of the cell vectors:
La 0.0186 0.0187 0.0372  4 Ni 2.96, 2 La 3.19-3.20, 2 Cr 3.25
La 0.2229 0.7228 0.4457  4 Cr 3.02, 2 La 3.19-3.20
Cr 0.8072 0.3071 0.6143  2 Ni 2.36
Ni 0.4514 0.4513 0.9028  2 Cr 2.36

Formation energy from the elements, eV/f.u.: 0.220
Final energy, eV per atom: -30.137
Symmetry: Imm2

---

This record from the Alexandria database describes a crystal of LaCrNi relaxed with PBEsol. The functional is meta-GGA SCAN.

abc: 3.2449 3.2422 5.6905
angles: 106.55 106.57 90.00
Last column: nearest neighbours and their distance in Å.
Sites, in units of the cell vectors:
La 0.6718 0.6718 0.3435  1 Cr 2.90, 5 Ni 3.06-3.14, 4 La 3.24
Cr 0.9504 0.9504 0.9008  4 Ni 2.41
Ni 0.3778 0.3778 0.7557  4 Cr 2.41

Formation energy from the elements, eV/f.u.: 0.666
Final energy, eV per atom: -25.666
Symmetry: I4mm

---

This record from the Alexandria database describes a crystal of LaCr2NiSe relaxed with PBEsol. The functional is meta-GGA SCAN.

abc: 4.5370 4.5370 5.6190
angles: 90.00 90.00 90.00
Last column: nearest neighbours and their distance in Å.
Sites, in units of the cell vectors:
Cr 0.0000 0.5000 0.0000  2 Se 2.27
Cr 0.5000 0.0000 0.0000  2 Se 2.27
Ni 0.5000 0.5000 0.5000  4 La 3.21
La 0.0000 0.0000 0.5000  2 Se 2.81
Se 0.0000 0.0000 0.0000  4 Cr 2.27

Formation energy (no corrections), kJ per mole of atoms: 36.9
Final energy, eV per atom: -22.842
Symmetry: P4/mmm

---

This record from the Alexandria database describes a crystal of LaCrP2O relaxed with PBEsol. The functional is meta-GGA SCAN.

abc: 3.6111 4.7613 4.7613
angles: 90.00 90.00 90.00
Last column: nearest neighbours and their distance in Å.
Sites, in units of the cell vectors:
La 0.5000 0.5000 0.5000  8 P 2.99
O 0.5000 0.0000 0.0000  2 Cr 1.81
Cr 0.0000 0.0000 0.0000  2 O 1.81
P 0.0000 0.0000 0.5000  2 Cr 2.38
P 0.0000 0.5000 0.0000  2 Cr 2.38

Formation energy (no corrections), kJ per mole of atoms: -108.9
Final energy, eV per atom: -18.832
Symmetry: P4/mmm

---

This record from the Alexandria database describes a crystal of LaCrS2O relaxed with PBEsol. The functional is meta-GGA SCAN.

abc: 3.6806 8.3214 11.0351
angles: 90.00 90.00 90.00
Last column: nearest neighbours and their distance in Å.
Sites, in units of the cell vectors:
S 0.7500 0.2584 0.6695  2 Cr 2.47
S 0.2500 0.7416 0.3305  2 Cr 2.47
S 0.7500 0.9028 0.0978  3 Cr 2.35-2.40
S 0.7500 0.7584 0.8305  2 Cr 2.47
S 0.7500 0.4028 0.4022  3 Cr 2.35-2.40
S 0.2500 0.0972 0.9022  3 Cr 2.35-2.40
S 0.2500 0.5972 0.5978  3 Cr 2.35-2.40
S 0.2500 0.2416 0.1695  2 Cr 2.47
Cr 0.7500 0.6711 0.4694  1 O 1.93
Cr 0.2500 0.8289 0.9694  1 O 1.93
Cr 0.7500 0.1711 0.0306  1 O 1.93
Cr 0.2500 0.3289 0.5306  1 O 1.93
O 0.7500 0.8860 0.5348  1 Cr 1.93
O 0.2500 0.6140 0.0348  1 Cr 1.93
O 0.2500 0.1140 0.4652  1 Cr 1.93
O 0.7500 0.3860 0.9652  1 Cr 1.93
La 0.7500 0.0468 0.3490  3 O 2.31-2.45
La 0.2500 0.9532 0.6510  3 O 2.31-2.45
La 0.2500 0.4532 0.8490  3 O 2.31-2.45
La 0.7500 0.5468 0.1510  3 O 2.31-2.45

Formation energy (no corrections), kJ per mole of atoms: -226.7
Final energy, eV per atom: -19.745
Symmetry: Pnma

---

This record from the Alexandria database describes a crystal of LaCrSe2O relaxed with PBEsol. The functional is meta-GGA SCAN.

abc: 3.8509 6.1187 8.2187
angles: 90.25 90.00 108.34
Last column: nearest neighbours and their distance in Å.
Sites, in units of the cell vectors:
Se 0.8616 0.7232 0.9738  2 Cr 2.52
Se 0.5460 0.0919 0.6988  3 Cr 2.53-2.58
Se 0.4540 0.9081 0.3012  3 Cr 2.53-2.58
Se 0.1384 0.2768 0.0262  2 Cr 2.52
La 0.7273 0.4545 0.3039  3 O 2.36-2.43
La 0.2727 0.5455 0.6961  3 O 2.36-2.43
O 0.8355 0.6710 0.5572  1 Cr 1.97
O 0.1645 0.3290 0.4428  1 Cr 1.97
Cr 0.0000 0.0000 0.5000  2 O 1.97
Cr 0.5000 0.0000 0.0000  6 Se 2.52-2.53

Formation energy (no corrections), kJ per mole of atoms: -212.3
Final energy, eV per atom: -23.776
Symmetry: C2/m

---

This record from the Alexandria database describes a crystal of LaCrSe2O relaxed with PBEsol. The functional is meta-GGA SCAN.

abc: 3.8164 8.5795 11.4048
angles: 90.00 90.00 90.00
Last column: nearest neighbours and their distance in Å.
Sites, in units of the cell vectors:
Cr 0.2500 0.1777 0.4714  1 O 1.95
Cr 0.7500 0.8223 0.5286  1 O 1.95
Cr 0.7500 0.3223 0.9714  1 O 1.95
Cr 0.2500 0.6777 0.0286  1 O 1.95
La 0.2500 0.5489 0.3580  3 O 2.33-2.43
La 0.7500 0.4511 0.6420  3 O 2.33-2.43
La 0.2500 0.0489 0.1420  3 O 2.33-2.43
La 0.7500 0.9511 0.8580  3 O 2.33-2.43
Se 0.2500 0.9053 0.3974  3 Cr 2.48-2.53
Se 0.2500 0.7528 0.6715  2 Cr 2.58
Se 0.7500 0.0947 0.6026  3 Cr 2.48-2.53
Se 0.7500 0.5947 0.8974  3 Cr 2.48-2.53
Se 0.7500 0.2472 0.3285  2 Cr 2.58
Se 0.7500 0.7472 0.1715  2 Cr 2.58
Se 0.2500 0.2528 0.8285  2 Cr 2.58
Se 0.2500 0.4053 0.1026  3 Cr 2.48-2.53
O 0.7500 0.1110 0.0342  1 Cr 1.95
O 0.2500 0.3890 0.5342  1 Cr 1.95
O 0.7500 0.6110 0.4658  1 Cr 1.95
O 0.2500 0.8890 0.9658  1 Cr 1.95

Formation energy (no corrections), kJ per mole of atoms: -213.1
Final energy, eV per atom: -23.784
Symmetry: Pnma

---

This record from the Alexandria database describes a crystal of La3SmCr4O12 relaxed with PBEsol. The functional is meta-GGA SCAN.

abc: 5.4326 5.4810 7.6957
angles: 90.00 90.00 90.08
Last column: nearest neighbours and their distance in Å.
Sites, in units of the cell vectors:
Cr 0.4992 0.9979 0.2484  6 O 1.96-1.98
Cr 0.0008 0.5007 0.7524  6 O 1.97-1.99
Cr 0.0008 0.5007 0.2476  6 O 1.97-1.99
Cr 0.4992 0.9979 0.7516  6 O 1.96-1.98
O 0.4264 0.0241 0.0000  2 Cr 1.96
O 0.0894 0.5129 0.0000  2 Cr 1.97
O 0.7079 0.7082 0.7964  2 Cr 1.98-1.99
O 0.7079 0.7082 0.2036  2 Cr 1.98-1.99
O 0.2879 0.2876 0.2874  2 Cr 1.97-1.98
O 0.7826 0.2174 0.2065  2 Cr 1.98
O 0.7826 0.2174 0.7935  2 Cr 1.98
O 0.2879 0.2876 0.7126  2 Cr 1.97-1.98
O 0.2100 0.7894 0.7111  2 Cr 1.97
O 0.2100 0.7894 0.2889  2 Cr 1.97
O 0.9275 0.4883 0.5000  2 Cr 1.98
O 0.5739 0.9853 0.5000  2 Cr 1.98
Sm 0.5116 0.4508 0.0000  6 O 2.32-2.52
La 0.0081 0.0387 0.5000  6 O 2.38-2.62
La 0.4931 0.5350 0.5000  6 O 2.37-2.64
La 0.9929 0.9624 0.0000  6 O 2.38-2.61

Formation energy (no corrections), kJ per mole of atoms: -315.8
Final energy, eV per atom: -19.376
Symmetry: Pm

---

This record from the Alexandria database describes a crystal of SrLa4Cr5O15 relaxed with PBEsol. The functional is meta-GGA SCAN.

abc: 5.4257 6.6531 8.5844
angles: 104.96 108.42 90.00
Last column: nearest neighbours and their distance in Å.
Sites, in units of the cell vectors:
La 0.8008 0.6961 0.6017  12 O 2.55-2.84
La 0.9985 0.5043 0.9970  12 O 2.55-2.84
La 0.2002 0.3037 0.4003  12 O 2.61-2.89
La 0.5990 0.8964 0.1980  12 O 2.61-2.89
O 0.3044 0.1949 0.1153  2 Cr 1.92
O 0.4946 0.0055 0.4829  2 Cr 1.92
O 0.8996 0.6001 0.2993  2 Cr 1.92
O 0.6055 0.4055 0.7009  2 Cr 1.91-1.92
O 0.9883 0.0055 0.4829  2 Cr 1.92
O 0.7039 0.7944 0.8979  2 Cr 1.91-1.92
O 0.0937 0.8779 0.1873  2 Cr 1.92
O 0.7056 0.3224 0.4112  2 Cr 1.92
O 0.0954 0.4055 0.7009  2 Cr 1.91-1.92
O 0.1940 0.7944 0.8979  2 Cr 1.91-1.92
O 0.5018 0.5056 0.0035  2 Cr 1.92-1.93
O 0.8109 0.1949 0.1153  2 Cr 1.92
O 0.2975 0.6946 0.5951  2 Cr 1.92-1.93
O 0.8994 0.0991 0.7987  2 Cr 1.92
O 0.3996 0.6001 0.2993  2 Cr 1.92
Cr 0.6001 0.3984 0.2003  6 O 1.92
Cr 0.7999 0.2000 0.5997  6 O 1.92
Cr 0.3996 0.6000 0.7993  6 O 1.91-1.93
Cr 0.9993 0.0001 0.9987  6 O 1.92
Cr 0.1992 0.8019 0.3983  6 O 1.92
Sr 0.3997 0.1001 0.7993  12 O 2.71-2.84

Formation energy (no corrections), kJ per mole of atoms: -304.1
Final energy, eV per atom: -18.355
Symmetry: Cm